Below is a geometry-optimized Na4BiPd structure, with properties calculated at the PBE-GGA level.

Computed properties:
total magnetization	0.0	μB/f.u.
energy of formation	-0.194	eV/atom
calculated density	4.66	Mg/m³

a = 9.612 Å, b = 9.612 Å, c = 5.271 Å
α = 90.00°, β = 90.00°, γ = 143.43°
Element x y z (fractional)
Na  0.040  0.454  0.250
Na  0.200  0.283  0.250
Na  0.283  0.200  0.750
Na  0.454  0.040  0.750
Na  0.546  0.960  0.250
Na  0.717  0.800  0.250
Na  0.800  0.717  0.750
Na  0.960  0.546  0.750
Bi  0.373  0.627  0.750
Bi  0.627  0.373  0.250
Pd  0.121  0.879  0.250
Pd  0.879  0.121  0.750